Ba2Cd2Au (GGA-PBEsol, relaxed); formation energy = -0.14 eV/atom; SG = No. 139; total energy = -2.259 eV/atom; total magnetic moment = 0.0005 μB per atom
1.0
6.138 -0.001 -0.001
-2.632 5.545 0.001
-2.632 -2.217 5.083
Cd Ba Au
2 2 1
direct
0.000 0.337 0.337 Cd
0.000 0.663 0.663 Cd
0.500 0.250 0.750 Ba
0.500 0.750 0.250 Ba
0.000 0.000 0.000 Au